! Nb2Ni3B2 (GGA-PBE, relaxed); values from VASP
! Total magnetic moment, μB per cell: 0.000
! E_form, kJ/mol of atoms: -43
! Crystal system: orthorhombic
&SYSTEM
  ibrav = 0, nat = 7, ntyp = 3
/
ATOMIC_SPECIES
Nb 92.91 Nb.upf
Ni 58.69 Ni.upf
B 10.81 B.upf
CELL_PARAMETERS angstrom
1.531 -7.881 0.000
1.531 7.881 0.000
0.000 0.000 3.295
ATOMIC_POSITIONS angstrom
Nb 1.531 5.251 0.000
Nb 1.531 -5.251 0.000
Ni 0.000 0.000 0.000
Ni 1.531 1.204 1.647
Ni 1.531 -1.204 1.647
B 1.531 3.482 1.647
B 1.531 -3.482 1.647